Compound: PrSb2Rh4
Source: the Alexandria database
Functional: PBE
Structure: relaxed

Properties
* space-group type: P4_2/mnm
* ΔE_f (raw): -0.587 eV/atom
* excess energy over the best structure of this formula in the dataset: 0.000 eV per atom

Cell: 8.039 8.039 4.132 Å, 90.00 90.00 90.00°
Positions (direct):
Pr: 0.000 0.000 0.000
Pr: 0.500 0.500 0.500
Sb: 0.223 0.223 0.500
Sb: 0.277 0.723 0.000
Sb: 0.723 0.277 0.000
Sb: 0.777 0.777 0.500
Rh: 0.083 0.651 0.500
Rh: 0.151 0.417 0.000
Rh: 0.349 0.917 0.500
Rh: 0.417 0.151 0.000
Rh: 0.583 0.849 0.000
Rh: 0.651 0.083 0.500
Rh: 0.849 0.583 0.000
Rh: 0.917 0.349 0.500